# 1
Density functional theory data (PBE) for crystalline Rb2PbF5 at its relaxed geometry.

Lattice parameters (Å, degrees): 6.835 6.835 6.255 123.13 123.13 90.00
Last column: magnetic moment on the atom in μB.
Positions (direct):
Rb 0.246 0.746 0.491  0.00
Rb 0.746 0.246 0.491  0.00
F 0.781 0.781 0.022  0.13
F 0.241 0.241 0.022  0.13
F 0.740 0.740 0.480  0.05
F 0.241 0.781 0.021  0.13
F 0.781 0.241 0.021  0.13
Pb 0.003 0.003 0.006  0.26

Energy relative to the lowest polymorph listed for this composition ... 0.0379 eV per atom
E_tot ... -4.21 eV per atom
Formation energy (no corrections) ... -2.33 eV/atom
Crystal system ... tetragonal

***

# 2
Density functional theory data (PBE) for crystalline RbPbF3 at its relaxed geometry.

Lattice parameters (Å, degrees): 4.760 4.762 20.092 90.15 101.81 90.01
Positions (direct):
Rb 0.564 0.258 0.824
Rb 0.059 0.244 0.324
Rb 0.436 0.742 0.176
Rb 0.941 0.756 0.676
F 0.368 0.754 0.591
F 0.356 0.241 0.091
F 0.137 0.257 0.909
F 0.067 0.756 0.817
F 0.439 0.255 0.683
F 0.561 0.745 0.317
F 0.863 0.743 0.091
F 0.139 0.744 0.409
F 0.933 0.244 0.183
F 0.644 0.759 0.909
F 0.632 0.246 0.409
F 0.861 0.256 0.591
Pb 0.838 0.242 0.070
Pb 0.162 0.758 0.930
Pb 0.343 0.254 0.570
Pb 0.657 0.746 0.430

E_tot ... -4.58 eV per atom
Formation energy (no corrections) ... -2.52 eV/atom
Crystal system ... triclinic

***

# 3
Density functional theory data (PBE) for crystalline Rb3PbF7 at its relaxed geometry.

Lattice parameters (Å, degrees): 6.456 6.456 7.041 63.42 63.42 87.54
Positions (direct):
Rb 0.499 0.499 0.934
Rb 0.761 0.232 0.490
Rb 0.232 0.761 0.490
Pb 0.956 0.956 0.038
F 0.805 0.805 0.902
F 0.993 0.291 0.738
F 0.684 0.684 0.408
F 0.291 0.993 0.738
F 0.661 0.118 0.181
F 0.124 0.124 0.151
F 0.118 0.661 0.181

E_tot ... -4.26 eV per atom
Formation energy (no corrections) ... -2.47 eV/atom
Crystal system ... monoclinic

***

# 4
Density functional theory data (PBE) for crystalline RbPb2F11 at its relaxed geometry.

Lattice parameters (Å, degrees): 8.351 9.450 9.450 70.67 63.78 63.78
Last column: magnetic moment on the atom in μB.
Positions (direct):
F 0.145 0.539 0.691  0.17
F 0.624 0.691 0.539  0.17
F 0.855 0.461 0.309  0.17
F 0.645 0.191 0.039  0.17
F 0.272 0.315 0.929  0.16
F 0.124 0.039 0.191  0.17
F 0.355 0.809 0.961  0.17
F 0.376 0.309 0.461  0.17
F 0.016 0.185 0.571  0.16
F 0.984 0.815 0.429  0.16
F 0.772 0.429 0.815  0.16
F 0.728 0.685 0.071  0.16
F 0.623 0.285 0.715  0.13
F 0.876 0.961 0.809  0.17
F 0.123 0.215 0.785  0.13
F 0.000 0.000 0.000  0.29
F 0.877 0.785 0.215  0.13
F 0.228 0.571 0.185  0.16
F 0.500 0.500 0.500  0.29
F 0.377 0.715 0.285  0.13
F 0.516 0.071 0.685  0.16
F 0.484 0.929 0.315  0.16
Pb 0.638 0.684 0.316  -0.02
Pb 0.862 0.184 0.816  -0.02
Pb 0.362 0.316 0.684  -0.02
Pb 0.138 0.816 0.184  -0.02
Rb 0.750 0.750 0.750  0.00
Rb 0.250 0.250 0.250  0.00

E_tot ... -3.74 eV per atom
Formation energy (no corrections) ... -1.67 eV/atom
Crystal system ... orthorhombic

***

Question: What is the formula in the fourth record?
Answer: RbPb2F11

***

Question: formation energy (no corrections) of number 2 (RbPbF3)?
Answer: -2.52 eV/atom

***

Repeat the third record exactly.
Density functional theory data (PBE) for crystalline Rb3PbF7 at its relaxed geometry.

Lattice parameters (Å, degrees): 6.456 6.456 7.041 63.42 63.42 87.54
Positions (direct):
Rb 0.499 0.499 0.934
Rb 0.761 0.232 0.490
Rb 0.232 0.761 0.490
Pb 0.956 0.956 0.038
F 0.805 0.805 0.902
F 0.993 0.291 0.738
F 0.684 0.684 0.408
F 0.291 0.993 0.738
F 0.661 0.118 0.181
F 0.124 0.124 0.151
F 0.118 0.661 0.181

E_tot ... -4.26 eV per atom
Formation energy (no corrections) ... -2.47 eV/atom
Crystal system ... monoclinic